[1]
## Ce2ZnAu7 (PBE-GGA)

Data for Ce2ZnAu7 after structural relaxation.

abc: 4.0305 4.0305 13.4077
angles: 90.00 90.00 90.00
Closest atoms and distances in Å follow each position.
Space group P-4m2 (No. 115)
Inequivalent atoms, fractional coordinates:
Ce 0.0000 0.5000 0.2494 x2  8 Au 3.15-3.18
Zn 0.5000 0.5000 0.0000 x1  8 Au 2.79-2.85
Au 0.0000 0.0000 0.0000 x1  4 Au 2.79, 4 Zn 2.85
Au 0.0000 0.0000 0.5000 x1  8 Au 2.85-2.86
Au 0.0000 0.5000 0.6511 x2  5 Au 2.74-2.86
Au 0.0000 0.5000 0.8558 x2  3 Au 2.74-2.79, 2 Zn 2.79
Au 0.5000 0.5000 0.5000 x1  8 Au 2.85-2.86

## Properties
DFT total energy: -4.028 eV/atom
formation energy from the elements: -0.42 eV per atom



[2]
## Ce2ZnAu (PBE-GGA)

Data for Ce2ZnAu after structural relaxation.

abc: 3.8003 3.8003 6.6687
angles: 90.00 90.00 90.00
Closest atoms and distances in Å follow each position.
Space group P4/mmm (No. 123)
Inequivalent atoms, fractional coordinates:
Ce 0.0000 0.0000 0.2382 x2  4 Zn 3.12, 2 Ce 3.18-3.49, 4 Au 3.20
Zn 0.5000 0.5000 0.0000 x1  8 Ce 3.12, 2 Au 3.33
Au 0.5000 0.5000 0.5000 x1  8 Ce 3.20, 2 Zn 3.33

## Properties
DFT total energy: -4.489 eV/atom
formation energy from the elements: -0.38 eV per atom



[3]
## Ce3Zn7Au2 (PBE-GGA)

Data for Ce3Zn7Au2 after structural relaxation.

abc: 5.4567 5.4567 27.0940
angles: 90.00 90.00 120.00
Closest atoms and distances in Å follow each position.
Space group R-3m (No. 166, hexagonal axes)
Inequivalent atoms, fractional coordinates:
Ce 0.0000 0.0000 0.0000 x3  6 Au 3.15
Ce 0.0000 0.0000 0.1500 x6  12 Zn 3.13-3.28, 3 Ce 3.28
Zn 0.0000 0.0000 0.5000 x3  6 Zn 2.77
Zn 0.0045 0.5023 0.9169 x18  5 Zn 2.69-2.77, 2 Au 2.72-2.78
Au 0.0000 0.0000 0.3353 x6  6 Zn 2.72-2.78

## Properties
DFT total energy: -3.116 eV/atom
formation energy from the elements: -0.34 eV per atom



Number 1: mass density 13.1 g/cm³. Number 2: mass density 9.4 g/cm³. Number 3: mass density 9.1 g/cm³.